Entry 1:
SmY | PBE-GGA | optimized geometry

DFT formation energy: 0.12 eV/atom
energy relative to the lowest polymorph listed for this composition: 2.29 kcal/mol of atoms
raw total energy: -5.476 eV/atom

abc: 6.9235 6.9235 3.7684
angles: 105.77 105.77 50.59
Fractional coordinates of all 4 atoms:
Sm  0.1291  0.1291  0.3806
Sm  0.8709  0.8709  0.6194
Y  0.3784  0.3784  0.1275
Y  0.6216  0.6216  0.8725

Entry 2:
Ba4AsBr2O | PBE-GGA | optimized geometry

raw total energy: -4.332 eV/atom

abc: 7.6639 4.5081 8.3133
angles: 90.00 108.50 90.00
Fractional coordinates of all 8 atoms:
Ba  0.2158  0.0000  0.2002
Ba  0.2346  0.5000  0.7909
Ba  0.7654  0.5000  0.2091
Ba  0.7842  0.0000  0.7998
As  0.5000  0.0000  0.0000
Br  0.0000  0.0000  0.5000
Br  0.5000  0.5000  0.5000
O  0.0000  0.5000  0.0000